# MgRuCl2 | the Alexandria database | PBE | optimized geometry
data_MgRuCl2
_chemical_formula_sum 'Mg1 Ru1 Cl2'
_cell_length_a 6.177
_cell_length_b 6.177
_cell_length_c 6.177
_cell_angle_alpha 146.08
_cell_angle_beta 146.08
_cell_angle_gamma 48.73
_symmetry_space_group_name_H-M 'P 1'
_symmetry_Int_Tables_number 1
_symmetry_space_group_name_Hall 'P 1'
loop_
_atom_site_label
_atom_site_type_symbol
_atom_site_fract_x
_atom_site_fract_y
_atom_site_fract_z
_atom_site_occupancy
Mg1 Mg 0.000 0.000 0.000 1
Ru1 Ru 0.250 0.750 0.500 1
Cl1 Cl 0.500 0.500 0.000 1
Cl2 Cl 0.750 0.250 0.500 1
# Formation energy without anion corrections in kJ/mol of atoms: 3.5
# Crystal system: tetragonal
# Magnetization in μB/f.u.: 1.37